No. 1
A relaxed SrNi2P crystal, computed with PBEsol.

POSCAR file:
```
SrNi2P
1.0
-2.0001 -3.3595 0.0821
3.6955 0.1082 1.3179
-3.5130 2.1858 3.8564
Sr Ni P
1 2 1
Direct
0.7530 0.5059 0.2582
0.9446 0.8892 0.8324
0.2424 0.4847 0.7277
0.5601 0.1201 0.6817
```

Calculated values
E_form, eV/atom: -0.58
Density of states at the Fermi level, states/eV/atom: 0.506
Final energy, eV per atom: -5.565
Magnetization, μB/atom: 0.00

***

No. 2
A relaxed LaCdSi crystal, computed with PBEsol.

POSCAR file:
```
LaCdSi
1.0
-2.2319 0.8506 3.5804
2.5130 -2.8479 2.2431
1.1792 4.2417 -0.2727
La Cd Si
1 1 1
Direct
0.6666 0.3333 0.6667
0.1666 0.0000 0.0000
0.1668 0.6667 0.3333
```

Calculated values
Density of states at the Fermi level, states/eV/atom: 0.750
Final energy, eV per atom: -4.609
Formation energy without anion corrections, eV/atom: -0.512
Magnetization, μB/atom: 0.00

***

No. 3
A relaxed YMoCl crystal, computed with PBEsol.

POSCAR file:
```
YMoCl
1.0
4.4783 0.0000 0.0000
2.2392 3.8783 0.0000
2.2392 1.2928 3.6565
Cl Mo Y
1 1 1
Direct
0.5000 0.5000 0.5000
0.2500 0.2500 0.2500
0.0000 0.0000 0.0000
```

Calculated values
Density of states at the Fermi level, states/eV/atom: 1.097
Final energy, eV per atom: -5.931
Formation energy without anion corrections, eV/atom: 0.935
Magnetization, μB/atom: 0.72

***

No. 4
A relaxed MoRuPt crystal, computed with PBEsol.

POSCAR file:
```
MoRuPt
1.0
2.6964 0.0000 0.0000
0.0000 3.8911 0.0000
-1.3482 -1.9456 4.1215
Mo Pt Ru
1 1 1
Direct
0.9956 0.9956 0.9912
0.6678 0.6678 0.3356
0.3366 0.3366 0.6732
```

Calculated values
E_form, eV/atom: -0.14
Density of states at the Fermi level, states/eV/atom: 0.887
Final energy, eV per atom: -9.775
E above lowest polymorph, meV per atom: 0
Magnetization, μB/atom: 0.00

***

No. 5
A relaxed Be2GaAsAu crystal, computed with PBEsol.

POSCAR file:
```
Be2GaAsAu
1.0
-3.9470 -0.0837 1.2375
-1.2320 -0.2140 -3.9438
0.1810 -5.1998 0.2256
Be As Ga Au
2 1 1 1
Direct
0.5000 0.0000 0.0000
0.0000 0.5000 0.0000
0.0000 0.0000 0.0000
0.5000 0.5000 0.5000
0.0000 0.0000 0.5000
```

Calculated values
E_form, eV/atom: 0.62
Density of states at the Fermi level, states/eV/atom: 0.301
Final energy, eV per atom: -3.457
Magnetization, μB/atom: 0.00

***

No. 6
A relaxed YFe4Cu3O12 crystal, computed with PBEsol.

POSCAR file:
```
YFe4Cu3O12
1.0
6.1667 0.0000 0.0000
-2.0556 5.8140 0.0000
-2.0556 -2.9070 5.0351
Cu O Fe Y
3 12 4 1
Direct
0.5000 0.0000 0.5000
0.5000 0.5000 0.0000
0.0000 0.5000 0.5000
0.6993 0.8765 0.1773
0.5220 0.8227 0.6993
0.6993 0.5220 0.8227
0.8227 0.6993 0.5220
0.1235 0.8227 0.3007
0.1773 0.3007 0.4780
0.3007 0.1235 0.8227
0.8765 0.1773 0.6993
0.4780 0.1773 0.3007
0.1773 0.6993 0.8765
0.3007 0.4780 0.1773
0.8227 0.3007 0.1235
0.0000 0.5000 0.0000
0.5000 0.5000 0.5000
0.5000 0.0000 0.0000
0.0000 0.0000 0.5000
0.0000 0.0000 0.0000
```

Calculated values
Density of states at the Fermi level, states/eV/atom: 0.636
Final energy, eV per atom: -7.318
Formation energy without anion corrections, eV/atom: -1.385
Magnetization, μB/atom: 0.39

***

No. 7
A relaxed NiHg2P crystal, computed with PBEsol.

POSCAR file:
```
NiHg2P
1.0
-3.0606 0.0790 -2.5230
-0.6033 -3.8733 0.6107
-0.8016 2.8156 4.1797
Hg P Ni
2 1 1
Direct
0.0000 0.0000 0.0000
0.7500 0.2500 0.5000
0.2500 0.7500 0.5000
0.5000 0.5000 0.0000
```

Calculated values
E_form, eV/atom: 0.42
Density of states at the Fermi level, states/eV/atom: 0.545
Final energy, eV per atom: -2.851
Magnetization, μB/atom: 0.00

***

No. 8
A relaxed SrCoPb crystal, computed with PBEsol.

POSCAR file:
```
SrCoPb
1.0
4.7057 0.0000 0.0000
2.3528 4.0752 0.0000
2.3528 1.3584 3.8422
Sr Co Pb
1 1 1
Direct
0.5000 0.5000 0.5000
0.2500 0.2500 0.2500
0.0000 0.0000 0.0000
```

Calculated values
E_form, eV/atom: 0.24
Density of states at the Fermi level, states/eV/atom: 0.866
Final energy, eV per atom: -4.283
Magnetization, μB/atom: 0.00